# Tm3In3AgAu2, optimized geometry, DFT GGA-PBE
# Calculated total energy in eV/atom: -4.08
# Calculated volume in Å³/f.u.: 203
data_Tm3In3AgAu2
_chemical_formula_sum 'Tm3 In3 Ag1 Au2'
_space_group_name_H-M_alt 'P -6 2 m'
_space_group_IT_number 189
_space_group_name_Hall 'P -6 -2'
_cell_length_a 7.7889
_cell_length_b 7.7889
_cell_length_c 3.8689
_cell_angle_alpha 90.00
_cell_angle_beta 90.00
_cell_angle_gamma 120.00
loop_
_atom_site_label
_atom_site_type_symbol
_atom_site_fract_x
_atom_site_fract_y
_atom_site_fract_z
Tm1 Tm 0.0000 0.4055 0.0000
In1 In 0.0000 0.7359 0.5000
Ag1 Ag 0.0000 0.0000 0.0000
Au1 Au 0.3333 0.6667 0.5000